VASP calculation (GGA-PBE) on a relaxed Nd2ZnTc crystal.

Geometry as extended XYZ:
```
4
Lattice="-0.6528 3.0076 1.1121 -3.1021 0.9434 0.4424 -0.9319 -2.2741 10.4177" Properties=species:S:1:pos:R:3 pbc="T T T"
Zn -2.3434 0.8385 5.9861
Nd -1.0135 -1.3574 7.8907
Nd -3.6733 3.0343 4.0815
Tc 0.0000 0.0000 0.0000
```

Summary:
Size of the total moment: 1.01 μB per cell
Theoretical density: 7.7 g cm⁻³
Volume: 97.71 Å³ per cell
Total DFT energy (no corrections): -4.64 eV per atom